Ni3Ag3IrO8 | PBE+U | relaxed Values from VASP.

Properties
DFT total energy ... -4.94 eV per atom
Space-group type ... C2/m, No. 12

Geometry as Quantum ESPRESSO input:
```
&SYSTEM
  ibrav = 0, nat = 15, ntyp = 4
/
ATOMIC_SPECIES
Ni 58.69 Ni.upf
Ag 107.87 Ag.upf
Ir 192.22 Ir.upf
O 16.00 O.upf
CELL_PARAMETERS angstrom
5.245 -3.062 0.000
5.245 3.062 0.000
-3.643 0.000 6.203
ATOMIC_POSITIONS angstrom
Ni 0.000 0.000 0.000
Ni 2.623 1.531 0.000
Ni 2.623 -1.531 0.000
Ag -1.822 0.000 3.102
Ag 0.801 1.531 3.102
Ag 0.801 -1.531 3.102
Ir 5.245 0.000 0.000
O -1.891 0.000 5.218
O 0.788 1.487 5.165
O 6.059 1.487 1.038
O 3.614 0.000 0.991
O 3.233 0.000 5.213
O 0.788 -1.487 5.165
O 6.059 -1.487 1.038
O 8.739 0.000 0.985
```